(1)
The following is a DFT calculation (GGA-PBE) of a relaxed LiBPb crystal.

```
LiBPb
1.0
8.6784 0.0000 0.0000
0.0000 4.0410 0.0000
0.0000 0.0000 5.8015
Li Pb B
4 4 4
direct
0.0975 0.2500 0.9775
0.5975 0.2500 0.5225
0.9025 0.7500 0.0225
0.4025 0.7500 0.4775
0.8411 0.7500 0.5182
0.3411 0.7500 0.9818
0.1589 0.2500 0.4818
0.6589 0.2500 0.0182
0.8862 0.2500 0.2787
0.3862 0.2500 0.2213
0.1138 0.7500 0.7213
0.6138 0.7500 0.7787
```

Summary:
For the volume, the calculation gives 203.5 Å³/cell. The calculation puts the size of the total moment at 0.00 μB/cell. The formation energy is 0.533 eV per atom.

(2)
The following is a DFT calculation (GGA-PBE) of a relaxed LiBPb crystal.

```
LiBPb
1.0
-5.8786 2.2589 1.4852
3.0632 -0.8289 -5.6388
-1.3770 -3.4224 -0.2449
Pb Li B
2 2 2
direct
0.8618 0.1382 0.5000
0.1382 0.8618 0.5000
0.6110 0.3890 0.0000
0.3890 0.6110 0.0000
0.6475 0.6475 0.5000
0.3525 0.3525 0.5000
```

Summary:
For the volume, the calculation gives 114.2 Å³/cell. The calculation puts the size of the total moment at 0.00 μB/cell. The formation energy is 0.220 eV per atom.

(3)
The following is a DFT calculation (GGA-PBE) of a relaxed LiBPb crystal.

```
LiBPb
1.0
4.0371 -0.0555 0.0460
0.0872 6.1189 0.0140
-0.0446 0.8461 4.6699
Pb B Li
2 2 2
direct
0.9990 0.3257 0.7846
0.0010 0.6743 0.2154
0.4991 0.1076 0.8778
0.5009 0.8924 0.1222
0.5016 0.7793 0.6639
0.4984 0.2207 0.3361
```

Summary:
For the volume, the calculation gives 115.3 Å³/cell. The calculation puts the size of the total moment at 0.00 μB/cell. The formation energy is 0.271 eV per atom.

(4)
The following is a DFT calculation (GGA-PBE) of a relaxed LiBPb crystal.

```
LiBPb
1.0
4.1154 0.0000 0.0000
0.0000 4.1154 0.0000
0.0000 0.0000 12.4270
B Li Pb
4 4 4
direct
0.9692 0.0308 0.6250
0.9692 0.9692 0.8750
0.0308 0.0308 0.3750
0.0308 0.9692 0.1250
0.4240 0.0000 0.7500
0.0000 0.5760 0.5000
0.0000 0.4240 0.0000
0.5760 0.0000 0.2500
0.9104 0.5000 0.7500
0.5000 0.9104 0.0000
0.0896 0.5000 0.2500
0.5000 0.0896 0.5000
```

Summary:
For the volume, the calculation gives 210.5 Å³/cell. The calculation puts the size of the total moment at 0.00 μB/cell. The formation energy is 0.677 eV per atom.

(5)
The following is a DFT calculation (GGA-PBE) of a relaxed LiBPb crystal.

```
LiBPb
1.0
-5.0395 2.8387 -1.5967
-1.3534 -1.4625 5.2205
1.6915 3.1956 0.0711
Pb B Li
2 2 2
direct
0.5293 0.7460 0.7495
0.0238 0.2606 0.5258
0.2057 0.5929 0.1842
0.2615 0.9012 0.3379
0.0280 0.7876 0.7881
0.4191 0.2442 0.0028
```

Summary:
For the volume, the calculation gives 112.9 Å³/cell. The calculation puts the size of the total moment at 0.00 μB/cell. The formation energy is 0.279 eV per atom.

(6)
The following is a DFT calculation (GGA-PBE) of a relaxed LiBPb crystal.

```
LiBPb
1.0
7.4142 0.0110 -0.0305
2.4763 6.0800 -0.0050
1.9548 -1.4922 5.2211
B Li Pb
4 4 4
direct
0.5470 0.8010 0.6052
0.6609 0.7849 0.3152
0.9943 0.7876 0.8017
0.8227 0.7889 0.0546
0.0716 0.4682 0.0697
0.3030 0.7492 0.4514
0.5274 0.0076 0.9910
0.8661 0.9212 0.4878
0.8026 0.2205 0.0760
0.2852 0.7636 0.9582
0.4014 0.2291 0.5678
0.8807 0.4794 0.6214
```

Summary:
For the volume, the calculation gives 235.6 Å³/cell. The calculation puts the size of the total moment at 0.00 μB/cell. The formation energy is 0.221 eV per atom.

(7)
The following is a DFT calculation (GGA-PBE) of a relaxed LiBPdPb2 crystal.

```
LiBPdPb2
1.0
-5.3670 1.4758 0.1713
-1.0698 -3.7949 -0.8232
-0.1403 -1.1424 5.4486
Pd Pb B Li
1 2 1 1
direct
0.0000 0.0000 0.0000
0.0000 0.0000 0.5000
0.5000 0.0000 0.0000
0.0000 0.5000 0.0000
0.5000 0.5000 0.5000
```

Summary:
For the volume, the calculation gives 124.9 Å³/cell. The calculation puts the size of the total moment at 0.00 μB/cell. The formation energy is 0.429 eV per atom.

(8)
The following is a DFT calculation (GGA-PBE) of a relaxed LiBPt2Pb crystal.

```
LiBPt2Pb
1.0
-3.1708 -2.7512 0.1683
2.4301 -2.6692 2.1497
-1.4634 1.9349 4.0568
Pb Li Pt B
1 1 2 1
direct
0.5000 0.5000 0.5000
0.0000 0.0000 0.5000
0.5000 0.0000 0.0000
0.0000 0.5000 0.0000
0.0000 0.0000 0.0000
```

Summary:
For the volume, the calculation gives 83.4 Å³/cell. The calculation puts the size of the total moment at 0.00 μB/cell. The formation energy is -0.223 eV per atom.